First-principles (PBE-GGA) data for Co2WAuN after structural relaxation, as listed in the Alexandria database.

symmetry: P4/mmm (123)
spin magnetization: 2.981 μB/cell
energy relative to the elements, uncorrected: 92 meV/atom

a = 3.928 Å, b = 3.928 Å, c = 4.047 Å
α = 90.00°, β = 90.00°, γ = 90.00°
Fractional positions:
W1 0.000 0.000 0.500
Co1 0.000 0.500 0.000
Co2 0.500 0.000 0.000
N1 0.000 0.000 0.000
Au1 0.500 0.500 0.500

***

First-principles (PBE-GGA) data for NaCo2Au after structural relaxation, as listed in the Alexandria database.

energy of formation from the pure elements: 2.42 eV/f.u.
symmetry: I-42d (122)
spin magnetization: 7.171 μB/cell

a = 3.891 Å, b = 3.891 Å, c = 9.879 Å
α = 78.64°, β = 78.64°, γ = 90.00°
Fractional positions:
Na1 0.500 0.500 0.000
Na2 0.250 0.750 0.500
Co1 0.375 0.272 0.750
Co2 0.875 0.978 0.750
Co3 0.728 0.125 0.250
Co4 0.022 0.625 0.250
Au1 0.000 0.000 0.000
Au2 0.750 0.250 0.500

***

First-principles (PBE-GGA) data for Na3CoAu after structural relaxation, as listed in the Alexandria database.

energy of formation from the pure elements: 3.15 eV/f.u.
symmetry: Pm-3m (221)
spin magnetization: 1.967 μB/cell

a = 5.505 Å, b = 5.505 Å, c = 5.505 Å
α = 90.00°, β = 90.00°, γ = 90.00°
Fractional positions:
Co1 0.500 0.500 0.500
Na1 0.500 0.000 0.000
Na2 0.000 0.000 0.500
Na3 0.000 0.500 0.000
Au1 0.000 0.000 0.000

***

First-principles (PBE-GGA) data for NaCo2Au after structural relaxation, as listed in the Alexandria database.

energy of formation from the pure elements: 2.37 eV/f.u.
symmetry: Fm-3m (225)
spin magnetization: 3.181 μB/cell

a = 4.393 Å, b = 4.393 Å, c = 4.393 Å
α = 60.00°, β = 60.00°, γ = 60.00°
Fractional positions:
Co1 0.750 0.750 0.750
Co2 0.250 0.250 0.250
Au1 0.500 0.500 0.500
Na1 0.000 0.000 0.000

***

First-principles (PBE-GGA) data for NaCoOsAu2 after structural relaxation, as listed in the Alexandria database.

energy of formation from the pure elements: 8.31 eV/f.u.
symmetry: P4/mmm (123)
spin magnetization: 2.942 μB/cell

a = 4.990 Å, b = 5.180 Å, c = 4.990 Å
α = 90.00°, β = 90.00°, γ = 90.00°
Fractional positions:
Na1 0.000 0.500 0.000
Os1 0.000 0.000 0.000
Co1 0.500 0.500 0.500
Au1 0.000 0.000 0.500
Au2 0.500 0.000 0.000

***

First-principles (PBE-GGA) data for NaSr2CoAu after structural relaxation, as listed in the Alexandria database.

energy of formation from the pure elements: 1.81 eV/f.u.
symmetry: P4/mmm (123)
spin magnetization: 1.983 μB/cell

a = 5.972 Å, b = 5.365 Å, c = 5.972 Å
α = 90.00°, β = 90.00°, γ = 90.00°
Fractional positions:
Sr1 0.000 0.000 0.500
Sr2 0.500 0.000 0.000
Au1 0.000 0.000 0.000
Na1 0.000 0.500 0.000
Co1 0.500 0.500 0.500

***

First-principles (PBE-GGA) data for Na2VCoAu after structural relaxation, as listed in the Alexandria database.

energy of formation from the pure elements: 6.88 eV/f.u.
symmetry: P4/mmm (123)
spin magnetization: 6.178 μB/cell

a = 5.563 Å, b = 4.896 Å, c = 5.563 Å
α = 90.00°, β = 90.00°, γ = 90.00°
Fractional positions:
Na1 0.500 0.000 0.000
Na2 0.000 0.000 0.500
Au1 0.000 0.500 0.000
V1 0.000 0.000 0.000
Co1 0.500 0.500 0.500

***

First-principles (PBE-GGA) data for NaV2CoAu after structural relaxation, as listed in the Alexandria database.

energy of formation from the pure elements: 4.15 eV/f.u.
symmetry: P4/mmm (123)
spin magnetization: 3.030 μB/cell

a = 4.338 Å, b = 4.935 Å, c = 4.338 Å
α = 90.00°, β = 90.00°, γ = 90.00°
Fractional positions:
Na1 0.000 0.500 0.000
V1 0.000 0.000 0.500
V2 0.500 0.000 0.000
Co1 0.000 0.000 0.000
Au1 0.500 0.500 0.500

***

First-principles (PBE-GGA) data for Na2CoWAu after structural relaxation, as listed in the Alexandria database.

energy of formation from the pure elements: 8.13 eV/f.u.
symmetry: P4/mmm (123)
spin magnetization: 4.497 μB/cell

a = 5.131 Å, b = 5.109 Å, c = 5.131 Å
α = 90.00°, β = 90.00°, γ = 90.00°
Fractional positions:
W1 0.000 0.500 0.000
Co1 0.500 0.500 0.500
Na1 0.000 0.000 0.500
Na2 0.500 0.000 0.000
Au1 0.000 0.000 0.000

***

First-principles (PBE-GGA) data for NbCoAu3 after structural relaxation, as listed in the Alexandria database.

energy of formation from the pure elements: 5.60 eV/f.u.
symmetry: Pm-3m (221)
spin magnetization: 0.000 μB/cell

a = 4.659 Å, b = 4.659 Å, c = 4.659 Å
α = 90.00°, β = 90.00°, γ = 90.00°
Fractional positions:
Au1 0.500 0.000 0.000
Au2 0.000 0.500 0.000
Au3 0.000 0.000 0.500
Co1 0.000 0.000 0.000
Nb1 0.500 0.500 0.500

***

First-principles (PBE-GGA) data for Nb2CoAu after structural relaxation, as listed in the Alexandria database.

energy of formation from the pure elements: -0.21 eV/f.u.
symmetry: P4/mmm (123)
spin magnetization: 0.462 μB/cell

a = 4.094 Å, b = 3.952 Å, c = 3.952 Å
α = 90.00°, β = 90.00°, γ = 90.00°
Fractional positions:
Au1 0.500 0.000 0.000
Nb1 0.000 0.500 0.000
Nb2 0.000 0.000 0.500
Co1 0.500 0.500 0.500

***

First-principles (PBE-GGA) data for NbCo2Au2 after structural relaxation, as listed in the Alexandria database.

energy of formation from the pure elements: 0.76 eV/f.u.
symmetry: P4/mbm (127)
spin magnetization: 2.359 μB/cell

a = 6.345 Å, b = 6.345 Å, c = 3.799 Å
α = 90.00°, β = 90.00°, γ = 90.00°
Fractional positions:
Co1 0.627 0.127 0.000
Co2 0.873 0.627 0.000
Co3 0.373 0.873 0.000
Co4 0.127 0.373 0.000
Au1 0.829 0.329 0.500
Au2 0.171 0.671 0.500
Au3 0.329 0.171 0.500
Au4 0.671 0.829 0.500
Nb1 0.000 0.000 0.000
Nb2 0.500 0.500 0.000

***

The records above yield total energy values of -38.3, -32.8, -11.2, -16.4, -17.9, -13.3, -15.3, -25.8, -17.8, -21.4, -30.7, -60.1 eV/cell, respectively.